ZnRh2W after structural relaxation, computed with PBE-GGA.

Fermi-level density of states: 0.503 states/eV per atom
Formation energy: -0.131 eV/atom

The structure in extended XYZ format:
```
4
Lattice="4.031 0.000 0.000 0.000 2.784 0.010 0.000 2.779 5.234" Properties=species:S:1:pos:R:3 pbc="T T T"
Rh 0.000 2.778 5.052
Rh 2.016 1.390 1.431
Zn 2.016 4.173 4.051
W 0.000 2.784 2.565
```